(1)
DFT (PBE-GGA) results for a relaxed Ga2Cu7As2Au crystal.

Computed properties:
- formation enthalpy at 0 K (eV per formula unit) = 0.6
- total magnetization (μB/cell) = 0.00
- SG = C2/m (12)
- volume (Å³ per atom) = 14.7
- DOS at the Fermi energy (states/eV/atom) = 0.460

abc: 3.887 3.887 11.701
angles: 90.37 90.37 91.23
Fractional coordinates of all 12 atoms:
1 Ga 0.000 0.000 0.183
2 Ga 0.000 0.000 0.817
3 Cu 0.000 0.000 0.500
4 Cu 0.003 0.504 0.660
5 Cu 0.245 0.245 0.000
6 Cu 0.496 0.997 0.340
7 Cu 0.504 0.003 0.660
8 Cu 0.755 0.755 0.000
9 Cu 0.997 0.496 0.340
10 As 0.499 0.499 0.816
11 As 0.501 0.501 0.184
12 Au 0.500 0.500 0.500

=====

(2)
DFT (PBE-GGA) results for a relaxed Ac6In2Ga crystal.

Computed properties:
- formation enthalpy at 0 K (eV per formula unit) = -2.1
- total magnetization (μB/cell) = 0.00
- SG = P2_1/c (14)
- volume (Å³ per atom) = 38.7
- DOS at the Fermi energy (states/eV/atom) = 1.233

abc: 6.816 9.569 12.333
angles: 90.00 120.09 90.00
Fractional coordinates of all 18 atoms:
1 Ac 0.064 0.175 0.448
2 Ac 0.064 0.325 0.948
3 Ac 0.334 0.676 0.443
4 Ac 0.334 0.824 0.943
5 Ac 0.394 0.039 0.279
6 Ac 0.394 0.461 0.779
7 Ac 0.606 0.539 0.221
8 Ac 0.606 0.961 0.721
9 Ac 0.666 0.176 0.057
10 Ac 0.666 0.324 0.557
11 Ac 0.936 0.675 0.052
12 Ac 0.936 0.825 0.552
13 In 0.166 0.120 0.754
14 In 0.166 0.380 0.254
15 In 0.834 0.620 0.746
16 In 0.834 0.880 0.246
17 Ga 0.000 0.000 0.000
18 Ga 0.000 0.500 0.500

=====

(3)
DFT (PBE-GGA) results for a relaxed Ac4Hg2N crystal.

Computed properties:
- total magnetization (μB/cell) = 0.25
- raw formation energy (eV/atom) = -0.579
- SG = P2_1/m (11)
- volume (Å³ per atom) = 35.6
- DOS at the Fermi energy (states/eV/atom) = 1.054

abc: 7.787 7.679 8.667
angles: 90.00 106.00 90.00
Fractional coordinates of all 14 atoms:
1 Ac 0.024 0.008 0.255
2 Ac 0.024 0.492 0.255
3 Ac 0.412 0.250 0.589
4 Ac 0.414 0.250 0.119
5 Ac 0.586 0.750 0.881
6 Ac 0.588 0.750 0.411
7 Ac 0.976 0.508 0.745
8 Ac 0.976 0.992 0.745
9 Hg 0.232 0.750 0.563
10 Hg 0.240 0.750 0.054
11 Hg 0.760 0.250 0.946
12 Hg 0.768 0.250 0.437
13 N 0.241 0.250 0.312
14 N 0.759 0.750 0.688

=====

(4)
DFT (PBE-GGA) results for a relaxed HfBi2W crystal.

Computed properties:
- formation enthalpy at 0 K (eV per formula unit) = 2.2
- total magnetization (μB/cell) = 0.00
- SG = Fm-3m (225)
- volume (Å³ per atom) = 22.0
- DOS at the Fermi energy (states/eV/atom) = 0.435

abc: 7.059 7.059 7.059
angles: 90.00 90.00 90.00
Fractional coordinates of all 16 atoms:
1 Hf 0.000 0.000 0.000
2 Hf 0.000 0.500 0.500
3 Hf 0.500 0.000 0.500
4 Hf 0.500 0.500 0.000
5 Bi 0.250 0.250 0.250
6 Bi 0.250 0.250 0.750
7 Bi 0.250 0.750 0.250
8 Bi 0.250 0.750 0.750
9 Bi 0.750 0.250 0.250
10 Bi 0.750 0.250 0.750
11 Bi 0.750 0.750 0.250
12 Bi 0.750 0.750 0.750
13 W 0.000 0.000 0.500
14 W 0.000 0.500 0.000
15 W 0.500 0.000 0.000
16 W 0.500 0.500 0.500

=====

Computed values of mass density (unit: Mg/m³) for the preceding records, in sequence: 8.75; 7.93; 8.82; 14.74.
Computed values of calculated total energy (unit: eV/atom) for the preceding records, in sequence: -3.8938; -3.9186; -4.2018; -7.1218.